No. 1
Computed, not measured: a geometry-optimized Hf8Os2N3 structure at the PBE-GGA level of DFT.

Its crystal system is monoclinic.

Lattice parameters (Å, degrees): 12.527 6.470 5.969 90.00 107.21 90.00
Space group C2/m (No. 12)
Asymmetric unit:
1 Hf 0.106 0.000 0.400
2 Hf 0.106 0.241 0.896
3 Hf 0.110 0.500 0.460
4 Os 0.240 0.500 0.199
5 N 0.000 0.000 0.000
6 N 0.000 0.234 0.500

No. 2
Computed, not measured: a geometry-optimized HfOs3N structure at the PBE-GGA level of DFT.

The relative energy among the computed polymorphs is 3534 meV/atom. Its crystal system is cubic.

Lattice parameters (Å, degrees): 4.875 4.875 4.875 90.00 90.00 90.00
Space group Pm-3m (No. 221)
Asymmetric unit:
1 Hf 0.000 0.000 0.000
2 Os 0.000 0.000 0.500
3 N 0.500 0.500 0.500

No. 3
Computed, not measured: a geometry-optimized HfOsN2 structure at the PBE-GGA level of DFT.

The relative energy among the computed polymorphs is 45 meV/atom. Its crystal system is trigonal.

Lattice parameters (Å, degrees): 3.1774 3.1774 18.4162 90.00 90.00 120.00
Space group R-3m (No. 166, hexagonal axes)
Asymmetric unit:
1 Hf 0.0000 0.0000 0.0000
2 Os 0.0000 0.0000 0.5000
3 N 0.0000 0.0000 0.3954

One value per record, in order, for raw formation energy: -701, 3640, -323 meV/atom.